CdTcAsBr2 | PBE-GGA | optimized geometry Values from VASP.

Properties
Magnetization: 1.46 μB/cell
Excess energy over the best structure of this formula in the dataset: 0 kJ/mol of formula units
Final energy: -3.619 eV/atom
ΔE_f (raw): 236 meV/atom
Space group: P4/mmm (123)

```
&SYSTEM
  ibrav = 0, nat = 5, ntyp = 4
/
ATOMIC_SPECIES
Tc 98.00 Tc.upf
Br 79.90 Br.upf
As 74.92 As.upf
Cd 112.41 Cd.upf
CELL_PARAMETERS angstrom
-0.989 -1.153 5.034
3.757 -3.677 -0.104
3.236 3.268 1.384
ATOMIC_POSITIONS angstrom
Tc 0.000 0.000 0.000
Br 1.879 -1.838 -0.052
Br -0.494 -0.577 2.517
As 1.618 1.634 0.692
Cd 3.002 -0.781 3.157
```